# 1
# PBEsol Y2InTc, relaxed
data_Y2InTc
_chemical_formula_sum 'Y2 In1 Tc1'
_cell_length_a 3.509
_cell_length_b 4.926
_cell_length_c 6.061
_cell_angle_alpha 113.93
_cell_angle_beta 106.83
_cell_angle_gamma 90.00
_symmetry_space_group_name_H-M 'P 1'
_symmetry_Int_Tables_number 1
loop_
_symmetry_equiv_pos_as_xyz
'x,y,z'
loop_
_atom_site_label
_atom_site_type_symbol
_atom_site_fract_x
_atom_site_fract_y
_atom_site_fract_z
Y1 Y 0.245 0.745 0.489
Y2 Y 0.036 0.036 0.072
In1 In 0.461 0.461 0.922
Tc1 Tc 0.758 0.259 0.517
# volume: 90.8 Å³/cell
# magnetic moment: 0.00 μB per formula unit
# energy: -7.039 eV per atom

***

# 2
# PBEsol Y2InTc, relaxed
data_Y2InTc
_chemical_formula_sum 'Y2 In1 Tc1'
_cell_length_a 3.377
_cell_length_b 3.377
_cell_length_c 9.819
_cell_angle_alpha 80.10
_cell_angle_beta 80.10
_cell_angle_gamma 60.00
_symmetry_space_group_name_H-M 'P 1'
_symmetry_Int_Tables_number 1
loop_
_symmetry_equiv_pos_as_xyz
'x,y,z'
loop_
_atom_site_label
_atom_site_type_symbol
_atom_site_fract_x
_atom_site_fract_y
_atom_site_fract_z
In1 In 0.513 0.513 0.461
Y1 Y 0.758 0.758 0.727
Y2 Y 0.983 0.983 0.052
Tc1 Tc 0.247 0.247 0.260
# volume: 95.1 Å³/cell
# magnetic moment: 0.00 μB per formula unit
# energy: -6.750 eV per atom

***

> What is the formula in the second record?

Y2InTc

***

> Number 1 is which compound?

Y2InTc